The following is a PBE calculation of crystalline Ge2PtWS at its relaxed geometry, from the Alexandria database.

E_form (uncorrected) in eV per atom: 1.3730
DOS(E_F) in states/eV per atom: 1.202
Volume in A^3/atom: 21.17
Space group: No. 123
Final energy in eV/atom: -5.098

Cell lengths 4.7737, 4.6440, 4.7737 Å; angles 90.00, 90.00, 90.00 degrees
Fractional coordinates of all 5 atoms:
S1 0.0000 0.5000 0.0000
Ge1 0.0000 0.0000 0.5000
Ge2 0.5000 0.0000 0.0000
W1 0.5000 0.5000 0.5000
Pt1 0.0000 0.0000 0.0000